1.
# ReRhF2 (PBE, relaxed)
# Uncorrected formation energy in eV/f.u.: 0.4
# Size of the total moment in μB/f.u.: 0.00
# Energy relative to the lowest polymorph listed for this composition in eV/atom: 0.682
data_ReRhF2
_chemical_formula_sum 'Re4 Rh4 F8'
_cell_length_a 7.1105
_cell_length_b 7.1105
_cell_length_c 4.8064
_cell_angle_alpha 90.00
_cell_angle_beta 90.00
_cell_angle_gamma 90.00
_symmetry_space_group_name_H-M 'I -4 2 d'
_symmetry_Int_Tables_number 122
_symmetry_space_group_name_Hall 'I -4 2bw'
loop_
_atom_site_label
_atom_site_type_symbol
_atom_site_fract_x
_atom_site_fract_y
_atom_site_fract_z
Re1 Re 0.0000 0.0000 0.0000
Rh1 Rh 0.0000 0.0000 0.5000
F1 F 0.1363 0.2500 0.1250

2.
# SrY2Si (PBE, relaxed)
# Uncorrected formation energy in eV/f.u.: -0.9
# Size of the total moment in μB/f.u.: 0.26
data_SrY2Si
_chemical_formula_sum 'Sr3 Y6 Si3'
_cell_length_a 4.0966
_cell_length_b 4.0966
_cell_length_c 30.1261
_cell_angle_alpha 90.00
_cell_angle_beta 90.00
_cell_angle_gamma 120.00
_symmetry_space_group_name_H-M 'R -3 m'
_symmetry_Int_Tables_number 166
_symmetry_space_group_name_Hall '-R 3 2"'
loop_
_atom_site_label
_atom_site_type_symbol
_atom_site_fract_x
_atom_site_fract_y
_atom_site_fract_z
Sr1 Sr 0.0000 0.0000 0.0000
Y1 Y 0.0000 0.0000 0.2180
Si1 Si 0.0000 0.0000 0.5000

3.
# SmYBiS (PBE, relaxed)
# Uncorrected formation energy in eV/f.u.: -4.7
# Size of the total moment in μB/f.u.: 0.00
data_SmYBiS
_chemical_formula_sum 'Sm6 Y6 Bi6 S6'
_cell_length_a 5.0783
_cell_length_b 5.0783
_cell_length_c 32.3970
_cell_angle_alpha 90.00
_cell_angle_beta 90.00
_cell_angle_gamma 120.00
_symmetry_space_group_name_H-M 'R -3 m'
_symmetry_Int_Tables_number 166
_symmetry_space_group_name_Hall '-R 3 2"'
loop_
_atom_site_label
_atom_site_type_symbol
_atom_site_fract_x
_atom_site_fract_y
_atom_site_fract_z
Sm1 Sm 0.0000 0.0000 0.1226
Y1 Y 0.0000 0.0000 0.2938
Bi1 Bi 0.0000 0.0000 0.3943
S1 S 0.0000 0.0000 0.2061

4.
# Cd2In2SnPd5 (PBE, relaxed)
# Energy relative to the elements in eV per atom: -0.367
# Size of the total moment in μB/f.u.: 0.00
data_Cd2In2SnPd5
_chemical_formula_sum 'Cd4 In4 Sn2 Pd10'
_cell_length_a 10.8277
_cell_length_b 10.8277
_cell_length_c 3.2802
_cell_angle_alpha 90.00
_cell_angle_beta 90.00
_cell_angle_gamma 90.00
_symmetry_space_group_name_H-M 'P 4/m b m'
_symmetry_Int_Tables_number 127
_symmetry_space_group_name_Hall '-P 4 2ab'
loop_
_atom_site_label
_atom_site_type_symbol
_atom_site_fract_x
_atom_site_fract_y
_atom_site_fract_z
Cd1 Cd 0.1481 0.3519 0.0000
In1 In 0.1445 0.6445 0.0000
Sn1 Sn 0.0000 0.0000 0.0000
Pd1 Pd 0.0000 0.5000 0.5000
Pd2 Pd 0.1392 0.8511 0.5000

5.
# ReIr2Pt (PBE, relaxed)
# Energy relative to the elements in eV per atom: -0.032
# Size of the total moment in μB/f.u.: 0.00
# Energy relative to the lowest polymorph listed for this composition in eV/atom: 0.118
data_ReIr2Pt
_chemical_formula_sum 'Re2 Ir4 Pt2'
_cell_length_a 9.1704
_cell_length_b 2.7565
_cell_length_c 4.7698
_cell_angle_alpha 90.00
_cell_angle_beta 100.07
_cell_angle_gamma 90.00
_symmetry_space_group_name_H-M 'C 1 m 1'
_symmetry_Int_Tables_number 8
loop_
_symmetry_equiv_pos_as_xyz
'x,y,z'
'x,-y,z'
'x+1/2,y+1/2,z'
'x+1/2,-y+1/2,z'
loop_
_atom_site_label
_atom_site_type_symbol
_atom_site_fract_x
_atom_site_fract_y
_atom_site_fract_z
Re1 Re 0.0000 0.0000 0.0000
Ir1 Ir 0.2457 0.5000 0.2353
Ir2 Ir 0.4935 0.0000 0.4873
Pt1 Pt 0.2487 0.0000 0.7424

6.
# KBa3 (PBE, relaxed)
# Energy relative to the elements in eV per atom: 0.076
# Size of the total moment in μB/f.u.: 0.00
# Energy relative to the lowest polymorph listed for this composition in eV/atom: 0.030
data_KBa3
_chemical_formula_sum 'K2 Ba6'
_cell_length_a 15.1261
_cell_length_b 4.4669
_cell_length_c 7.9405
_cell_angle_alpha 90.00
_cell_angle_beta 99.02
_cell_angle_gamma 90.00
_symmetry_space_group_name_H-M 'C 1 2/m 1'
_symmetry_Int_Tables_number 12
loop_
_symmetry_equiv_pos_as_xyz
'x,y,z'
'-x,-y,-z'
'-x,y,-z'
'x,-y,z'
'x+1/2,y+1/2,z'
'-x+1/2,-y+1/2,-z'
'-x+1/2,y+1/2,-z'
'x+1/2,-y+1/2,z'
loop_
_atom_site_label
_atom_site_type_symbol
_atom_site_fract_x
_atom_site_fract_y
_atom_site_fract_z
K1 K 0.0000 0.0000 0.0000
Ba1 Ba 0.0000 0.5000 0.5000
Ba2 Ba 0.2490 0.5000 0.2549

7.
# ErTiNi4 (PBE, relaxed)
# Energy relative to the elements in eV per atom: -0.369
# Size of the total moment in μB/f.u.: 0.00
data_ErTiNi4
_chemical_formula_sum 'Er4 Ti4 Ni16'
_cell_length_a 6.9302
_cell_length_b 6.9302
_cell_length_c 6.9302
_cell_angle_alpha 90.00
_cell_angle_beta 90.00
_cell_angle_gamma 90.00
_symmetry_space_group_name_H-M 'F -4 3 m'
_symmetry_Int_Tables_number 216
_symmetry_space_group_name_Hall 'F -4 2 3'
loop_
_atom_site_label
_atom_site_type_symbol
_atom_site_fract_x
_atom_site_fract_y
_atom_site_fract_z
Er1 Er 0.0000 0.0000 0.0000
Ti1 Ti 0.2500 0.2500 0.2500
Ni1 Ni 0.1244 0.1244 0.6244

8.
# PmPu2Ge2Pd7 (PBE, relaxed)
# Energy relative to the elements in eV per atom: -0.610
# Size of the total moment in μB/f.u.: 11.22
data_PmPu2Ge2Pd7
_chemical_formula_sum 'Pm2 Pu4 Ge4 Pd14'
_cell_length_a 5.8221
_cell_length_b 5.7437
_cell_length_c 14.1602
_cell_angle_alpha 90.00
_cell_angle_beta 98.17
_cell_angle_gamma 90.00
_symmetry_space_group_name_H-M 'C 1 2/m 1'
_symmetry_Int_Tables_number 12
loop_
_symmetry_equiv_pos_as_xyz
'x,y,z'
'-x,-y,-z'
'-x,y,-z'
'x,-y,z'
'x+1/2,y+1/2,z'
'-x+1/2,-y+1/2,-z'
'-x+1/2,y+1/2,-z'
'x+1/2,-y+1/2,z'
loop_
_atom_site_label
_atom_site_type_symbol
_atom_site_fract_x
_atom_site_fract_y
_atom_site_fract_z
Pm1 Pm 0.0000 0.0000 0.0000
Pu1 Pu 0.1184 0.0000 0.3592
Ge1 Ge 0.0900 0.5000 0.2581
Pd1 Pd 0.0000 0.5000 0.0000
Pd2 Pd 0.1529 0.5000 0.4364
Pd3 Pd 0.1951 0.2502 0.8430

Which of these has the highest size of the total moment? PmPu2Ge2Pd7

What did the fourth record say?
# Cd2In2SnPd5 (PBE, relaxed)
# Energy relative to the elements in eV per atom: -0.367
# Size of the total moment in μB/f.u.: 0.00
data_Cd2In2SnPd5
_chemical_formula_sum 'Cd4 In4 Sn2 Pd10'
_cell_length_a 10.8277
_cell_length_b 10.8277
_cell_length_c 3.2802
_cell_angle_alpha 90.00
_cell_angle_beta 90.00
_cell_angle_gamma 90.00
_symmetry_space_group_name_H-M 'P 4/m b m'
_symmetry_Int_Tables_number 127
_symmetry_space_group_name_Hall '-P 4 2ab'
loop_
_atom_site_label
_atom_site_type_symbol
_atom_site_fract_x
_atom_site_fract_y
_atom_site_fract_z
Cd1 Cd 0.1481 0.3519 0.0000
In1 In 0.1445 0.6445 0.0000
Sn1 Sn 0.0000 0.0000 0.0000
Pd1 Pd 0.0000 0.5000 0.5000
Pd2 Pd 0.1392 0.8511 0.5000